A plane-wave DFT calculation with meta-GGA SCAN was carried out for a crystal of KAu2Cl relaxed with PBEsol.

Lattice parameters (Å, degrees): 4.1760 5.4515 5.4515 65.90 67.48 67.48
Fractional coordinates of all 4 atoms:
1 Cl 0.4525 0.5475 0.5475
2 Au 0.0584 0.9416 0.9416
3 Au 0.7494 0.7506 0.7506
4 K 0.2398 0.2602 0.2602

Output
* symmetry: No. 44
* size of the total moment: 0.0 μB per cell
* total energy: -39.0539 eV per atom